--- A ---
VASP calculation (meta-GGA SCAN) on a PBEsol-optimized structure of BaAuSe2.

Lattice parameters (Å, degrees): 4.3405 5.1017 5.1009 90.00 90.04 90.00
Last column: nearest neighbours and their distance in Å.
Space group Pm (No. 6)
Asymmetric unit:
Ba: 0.0000 0.0000 0.0000  8 Se 3.32-3.38
Au: 0.5964 0.5000 0.4971  4 Se 2.58
Se: 0.5112 0.0000 0.5002  2 Au 2.58
Se: 0.5108 0.5000 0.9971  2 Au 2.58

Calculated values
M_tot   0.000 μB per cell
N(E_F)   0.8 states/eV per cell

=====

--- B ---
VASP calculation (meta-GGA SCAN) on a PBEsol-optimized structure of BaAuSe2.

Lattice parameters (Å, degrees): 5.1642 5.1642 7.3571 90.00 90.00 90.00
Last column: nearest neighbours and their distance in Å.
Space group I4/mmm (No. 139)
Asymmetric unit:
Ba: 0.0000 0.0000 0.0000  8 Se 3.17
Au: 0.0000 0.0000 0.5000  8 Se 3.17
Se: 0.0000 0.5000 0.2500  4 Ba 3.17, 4 Au 3.17

Calculated values
M_tot   0.012 μB per cell
N(E_F)   9.6 states/eV per cell

=====

--- C ---
VASP calculation (meta-GGA SCAN) on a PBEsol-optimized structure of BaAuSe2.

Lattice parameters (Å, degrees): 4.5242 4.5242 17.5281 90.00 90.00 120.00
Last column: nearest neighbours and their distance in Å.
Space group R-3m (No. 166, hexagonal axes)
Asymmetric unit:
Ba: 0.0000 0.0000 0.0000  6 Se 3.21
Au: 0.0000 0.0000 0.5000  6 Se 2.82
Se: 0.0000 0.0000 0.2268  3 Au 2.82

Calculated values
M_tot   0.001 μB per cell
N(E_F)   9.8 states/eV per cell

=====

Stability ranking, top entry: A; the second entry is 33.1 kJ/mol of atoms less favorable.

=====

--- A ---
VASP calculation (meta-GGA SCAN) on a PBEsol-optimized structure of BaSiAu3.

Lattice parameters (Å, degrees): 4.9042 4.9042 4.9042 90.00 90.00 90.00
Last column: nearest neighbours and their distance in Å.
Space group Pm-3m (No. 221)
Asymmetric unit:
Ba: 0.0000 0.0000 0.0000  12 Au 3.47
Si: 0.5000 0.5000 0.5000  6 Au 2.45
Au: 0.0000 0.5000 0.5000  2 Si 2.45

Calculated values
M_tot   0.000 μB per cell
N(E_F)   1.3 states/eV per cell

=====

--- B ---
VASP calculation (meta-GGA SCAN) on a PBEsol-optimized structure of BaSiAu3.

Lattice parameters (Å, degrees): 5.7319 5.7319 5.7319 90.00 90.00 90.00
Last column: nearest neighbours and their distance in Å.
Space group Pm-3m (No. 221)
Asymmetric unit:
Ba: 0.0000 0.0000 0.0000  6 Au 2.87
Si: 0.5000 0.5000 0.5000  12 Au 4.05
Au: 0.0000 0.0000 0.5000  2 Ba 2.87

Calculated values
M_tot   0.885 μB per cell
N(E_F)   3.3 states/eV per cell

=====

Stability ranking, top entry: A; the second entry is 178.5 kJ/mol of atoms less favorable.

=====

--- A ---
VASP calculation (meta-GGA SCAN) on a PBEsol-optimized structure of BaSrAu2.

Lattice parameters (Å, degrees): 4.7212 4.3757 11.7777 90.00 90.00 90.00
Last column: nearest neighbours and their distance in Å.
Space group Amm2 (No. 38)
Asymmetric unit:
Ba: 0.0000 0.0000 0.0000  7 Au 3.32-3.37
Sr: 0.5000 0.0000 0.2765  7 Au 3.29-3.44
Au: 0.0000 0.0000 0.7175  2 Au 2.94, 4 Sr 3.29
Au: 0.5000 0.0000 0.5682  2 Au 2.94, 2 Sr 3.29

Calculated values
M_tot   0.000 μB per cell
N(E_F)   5.2 states/eV per cell

=====

--- B ---
VASP calculation (meta-GGA SCAN) on a PBEsol-optimized structure of BaSrAu2.

Lattice parameters (Å, degrees): 4.5396 4.5396 22.0990 90.00 90.00 120.00
Last column: nearest neighbours and their distance in Å.
Space group R-3m (No. 166, hexagonal axes)
Asymmetric unit:
Ba: 0.0000 0.0000 0.0000  6 Au 3.27
Sr: 0.0000 0.0000 0.5000  6 Au 3.14
Au: 0.0000 0.0000 0.2450  3 Sr 3.14, 3 Ba 3.27

Calculated values
M_tot   0.000 μB per cell
N(E_F)   8.0 states/eV per cell

=====

--- C ---
VASP calculation (meta-GGA SCAN) on a PBEsol-optimized structure of BaSrAu2.

Lattice parameters (Å, degrees): 4.3172 4.4475 14.1884 90.00 90.00 90.00
Last column: nearest neighbours and their distance in Å.
Space group Imm2 (No. 44)
Asymmetric unit:
Ba: 0.0000 0.0000 0.0000  6 Au 3.30-3.59
Sr: 0.0000 0.5000 0.7521  6 Au 3.17-3.21
Au: 0.0000 0.0000 0.4194  2 Au 2.81
Au: 0.0000 0.5000 0.2980  2 Au 2.81

Calculated values
M_tot   0.000 μB per cell
N(E_F)   4.1 states/eV per cell

=====

Stability ranking, top entry: A; the second entry is 4.4 kJ/mol of atoms less favorable.

=====

--- A ---
VASP calculation (meta-GGA SCAN) on a PBEsol-optimized structure of BaSrAu2.

Lattice parameters (Å, degrees): 3.8482 3.8482 7.6447 90.00 90.00 90.00
Last column: nearest neighbours and their distance in Å.
Space group P4/mmm (No. 123)
Asymmetric unit:
Ba: 0.0000 0.0000 0.0000  8 Au 3.41, 2 Sr 3.82
Sr: 0.0000 0.0000 0.5000  8 Au 3.24
Au: 0.5000 0.5000 0.2698  4 Sr 3.24, 4 Ba 3.41, 1 Au 3.52

Calculated values
M_tot   0.000 μB per cell
N(E_F)   2.6 states/eV per cell

=====

--- B ---
VASP calculation (meta-GGA SCAN) on a PBEsol-optimized structure of BaSrAu2.

Lattice parameters (Å, degrees): 7.7002 7.7002 7.7002 90.00 90.00 90.00
Last column: nearest neighbours and their distance in Å.
Space group Fm-3m (No. 225)
Asymmetric unit:
Ba: 0.0000 0.0000 0.0000  8 Au 3.33
Sr: 0.0000 0.0000 0.5000  8 Au 3.33
Au: 0.2500 0.2500 0.2500  4 Ba 3.33, 4 Sr 3.33

Calculated values
M_tot   0.000 μB per cell
N(E_F)   10.8 states/eV per cell

=====

Stability ranking, top entry: A; the second entry is 1.4 kJ/mol of atoms less favorable.

=====

--- A ---
VASP calculation (meta-GGA SCAN) on a PBEsol-optimized structure of BaSr2Au.

Lattice parameters (Å, degrees): 7.6957 4.4533 11.0826 90.00 103.51 90.00
Last column: nearest neighbours and their distance in Å.
Space group Cm (No. 8)
Asymmetric unit:
Ba: 0.0000 0.0000 0.0000  3 Au 3.19
Sr: 0.2192 0.0000 0.6572  9 Sr 4.34-4.45, 3 Ba 4.50
Sr: 0.4443 0.0000 0.3325  3 Au 3.08
Au: 0.2251 0.5000 0.1749  3 Sr 3.08, 3 Ba 3.19

Calculated values
M_tot   0.690 μB per cell
N(E_F)   7.9 states/eV per cell

=====

--- B ---
VASP calculation (meta-GGA SCAN) on a PBEsol-optimized structure of BaSr2Au.

Lattice parameters (Å, degrees): 3.9895 6.1074 13.1709 90.00 90.00 90.00
Last column: nearest neighbours and their distance in Å.
Space group Immm (No. 71)
Asymmetric unit:
Ba: 0.0000 0.0000 0.0000  4 Au 3.65, 4 Sr 3.88, 2 Ba 3.99
Sr: 0.0000 0.5000 0.1823  2 Au 3.12
Au: 0.0000 0.0000 0.5000  4 Sr 3.12

Calculated values
M_tot   0.000 μB per cell
N(E_F)   7.6 states/eV per cell

=====

Stability ranking, top entry: A; the second entry is 1.2 kJ/mol of atoms less favorable.

=====

--- A ---
VASP calculation (meta-GGA SCAN) on a PBEsol-optimized structure of BaSr2Au.

Lattice parameters (Å, degrees): 3.9540 3.9540 10.2536 90.00 90.00 90.00
Last column: nearest neighbours and their distance in Å.
Space group P4mm (No. 99)
Asymmetric unit:
Ba: 0.0000 0.0000 0.0000  4 Au 3.39, 1 Sr 3.61
Sr: 0.0000 0.0000 0.6483  4 Au 3.26, 1 Ba 3.61
Sr: 0.5000 0.5000 0.3338  8 Sr 3.95-4.27, 4 Ba 4.42
Au: 0.5000 0.5000 0.8122  4 Sr 3.26, 4 Ba 3.39

Calculated values
M_tot   0.014 μB per cell
N(E_F)   3.4 states/eV per cell

=====

--- B ---
VASP calculation (meta-GGA SCAN) on a PBEsol-optimized structure of BaSr2Au.

Lattice parameters (Å, degrees): 4.4078 4.4078 32.1558 90.00 90.00 120.00
Last column: nearest neighbours and their distance in Å.
Space group R-3m (No. 166, hexagonal axes)
Asymmetric unit:
Ba: 0.0000 0.0000 0.0000  6 Ba 4.41, 6 Sr 4.44
Sr: 0.0000 0.0000 0.2202  3 Au 3.07
Au: 0.0000 0.0000 0.5000  6 Sr 3.07

Calculated values
M_tot   0.745 μB per cell
N(E_F)   11.6 states/eV per cell

=====

Stability ranking, top entry: B; the second entry is 2.1 kJ/mol of atoms less favorable.

=====

--- A ---
VASP calculation (meta-GGA SCAN) on a PBEsol-optimized structure of Ba3SrAu.

Lattice parameters (Å, degrees): 6.3669 6.3669 6.3669 90.00 90.00 90.00
Last column: nearest neighbours and their distance in Å.
Space group Pm-3m (No. 221)
Asymmetric unit:
Ba: 0.0000 0.0000 0.5000  2 Sr 3.18
Sr: 0.0000 0.0000 0.0000  6 Ba 3.18
Au: 0.5000 0.5000 0.5000  12 Ba 4.50

Calculated values
M_tot   0.001 μB per cell
N(E_F)   6.9 states/eV per cell

=====

--- B ---
VASP calculation (meta-GGA SCAN) on a PBEsol-optimized structure of Ba3SrAu.

Lattice parameters (Å, degrees): 6.3914 6.3914 6.3914 90.00 90.00 90.00
Last column: nearest neighbours and their distance in Å.
Space group Pm-3m (No. 221)
Asymmetric unit:
Ba: 0.0000 0.0000 0.5000  2 Au 3.20
Sr: 0.5000 0.5000 0.5000  12 Ba 4.52
Au: 0.0000 0.0000 0.0000  6 Ba 3.20

Calculated values
M_tot   0.027 μB per cell
N(E_F)   2.9 states/eV per cell

=====

Stability ranking, top entry: B; the second entry is 113.0 kJ/mol of atoms less favorable.

=====

--- A ---
VASP calculation (meta-GGA SCAN) on a PBEsol-optimized structure of Ba2TlAu.

Lattice parameters (Å, degrees): 3.9906 5.7963 5.7971 90.00 90.00 90.00
Last column: nearest neighbours and their distance in Å.
Space group Pmm2 (No. 25)
Asymmetric unit:
Ba: 0.0000 0.0000 0.0000  4 Au 3.52, 4 Tl 3.52
Ba: 0.0000 0.5000 0.4996  4 Au 3.52, 4 Tl 3.52
Tl: 0.5000 0.0000 0.5000  8 Ba 3.52
Au: 0.5000 0.5000 0.9991  8 Ba 3.52

Calculated values
M_tot   0.000 μB per cell
N(E_F)   1.9 states/eV per cell

=====

--- B ---
VASP calculation (meta-GGA SCAN) on a PBEsol-optimized structure of Ba2TlAu.

Lattice parameters (Å, degrees): 5.0793 4.5678 12.2655 90.00 90.00 90.00
Last column: nearest neighbours and their distance in Å.
Space group Amm2 (No. 38)
Asymmetric unit:
Ba: 0.0000 0.0000 0.0000  3 Au 3.42-3.59, 4 Tl 3.53
Ba: 0.5000 0.0000 0.2826  3 Tl 3.45-3.55, 4 Au 3.54
Tl: 0.5000 0.0000 0.5717  2 Au 3.04
Au: 0.0000 0.0000 0.7075  2 Tl 3.04

Calculated values
M_tot   0.009 μB per cell
N(E_F)   7.5 states/eV per cell

=====

Stability ranking, top entry: A; the second entry is 3.7 kJ/mol of atoms less favorable.